A relaxed structure of PmSmTmTl. Source: Alexandria via LeMat-Bulk, functional PBE-GGA.

POSCAR file:
```
PmSmTmTl
1.0
7.823 0.000 0.000
0.000 7.823 0.000
0.000 0.000 7.823
Pm Sm Tm Tl
4 4 4 4
Direct
0.000 0.000 0.000 Pm
0.000 0.500 0.500 Pm
0.500 0.000 0.500 Pm
0.500 0.500 0.000 Pm
0.000 0.000 0.500 Sm
0.000 0.500 0.000 Sm
0.500 0.000 0.000 Sm
0.500 0.500 0.500 Sm
0.250 0.250 0.250 Tm
0.250 0.750 0.750 Tm
0.750 0.250 0.750 Tm
0.750 0.750 0.250 Tm
0.250 0.250 0.750 Tl
0.250 0.750 0.250 Tl
0.750 0.250 0.250 Tl
0.750 0.750 0.750 Tl
```

## Properties
- Total magnetic moment: 1.1 μB/f.u.
- Formation energy: -0.26 eV per formula unit
- Energy relative to the lowest polymorph listed for this composition: 11.7 kJ per mole of atoms
- Space group: F-43m